Below is a relaxed Ta2SbIr crystal, with properties calculated at the PBE level.

Output
Fermi-level density of states ... 0.788 states/eV/atom
Crystal system ... monoclinic
Formation energy without anion corrections ... -1.2 kcal/mol of atoms
Magnetic moment ... 0.0 μB per formula unit

abc: 10.1997 3.0338 4.9205
angles: 90.00 108.81 90.00
With the nearest neighbours (Å) after each atom.
Atoms (fractional coordinates):
1 Ta 0.0000 0.0000 0.0000  3 Ir 2.72-2.99, 4 Sb 2.91-2.94, 2 Ta 3.03
2 Ta 0.2114 0.0000 0.6364  4 Ir 2.81-2.99, 3 Sb 2.88-2.89, 2 Ta 3.03
3 Ta 0.5000 0.5000 0.0000  3 Ir 2.72-2.99, 4 Sb 2.91-2.94, 2 Ta 3.03
4 Ta 0.7114 0.5000 0.6364  4 Ir 2.81-2.99, 3 Sb 2.88-2.89, 2 Ta 3.03
5 Sb 0.4563 0.0000 0.4673  2 Ir 2.79, 7 Ta 2.88-2.94, 2 Sb 3.03
6 Sb 0.9563 0.5000 0.4673  2 Ir 2.79, 7 Ta 2.88-2.94, 2 Sb 3.03
7 Ir 0.2332 0.5000 0.1291  7 Ta 2.72-2.99, 2 Sb 2.79, 2 Ir 3.03
8 Ir 0.7332 0.0000 0.1291  7 Ta 2.72-2.99, 2 Sb 2.79, 2 Ir 3.03


Below is a relaxed Pt2WSe crystal, with properties calculated at the PBE level.

Output
Fermi-level density of states ... 0.701 states/eV/atom
Crystal system ... monoclinic
Formation energy without anion corrections ... 5.3 kcal/mol of atoms
Magnetic moment ... 0.0 μB per formula unit

abc: 6.3769 6.3527 4.5072
angles: 90.00 134.76 90.00
With the nearest neighbours (Å) after each atom.
Atoms (fractional coordinates):
1 Pt 0.0000 0.0000 0.0000  4 Se 2.69-2.83, 4 Pt 2.75-2.77
2 Pt 0.0000 0.2494 0.5000  4 W 2.70-2.83, 4 Pt 2.75-2.77
3 Pt 0.5000 0.5000 0.0000  4 Se 2.69-2.83, 4 Pt 2.75-2.77
4 Pt 0.5000 0.7494 0.5000  4 W 2.70-2.83, 4 Pt 2.75-2.77
5 W 0.0000 0.4824 0.0000  4 Se 2.64-2.89, 4 Pt 2.70-2.83
6 W 0.5000 0.9824 0.0000  4 Se 2.64-2.89, 4 Pt 2.70-2.83
7 Se 0.0000 0.7675 0.5000  4 W 2.64-2.89, 4 Pt 2.69-2.83
8 Se 0.5000 0.2675 0.5000  4 W 2.64-2.89, 4 Pt 2.69-2.83


Below is a relaxed ZrPtW2 crystal, with properties calculated at the PBE level.

Output
Excess energy over the best structure of this formula in the dataset ... 10.6 kJ/mol of atoms
Calculated formation energy ... -0.062 eV per atom
Fermi-level density of states ... 0.850 states/eV/atom
Crystal system ... orthorhombic
Magnetic moment ... 0.0 μB per formula unit

abc: 3.4416 4.6044 8.7903
angles: 90.00 90.00 90.00
With the nearest neighbours (Å) after each atom.
Atoms (fractional coordinates):
1 Zr 0.0000 0.0000 0.0000  8 W 2.86-3.12, 4 Pt 2.86-3.12
2 Zr 0.5000 0.5000 0.5000  8 W 2.86-3.12, 4 Pt 2.86-3.12
3 Pt 0.0000 0.5000 0.2394  8 W 2.83-3.15, 4 Zr 2.86-3.12
4 Pt 0.5000 0.0000 0.7394  8 W 2.83-3.15, 4 Zr 2.86-3.12
5 W 0.0000 0.0000 0.4836  2 W 2.61, 2 Pt 2.83, 4 Zr 2.88
6 W 0.0000 0.5000 0.7600  2 W 2.61, 2 Zr 2.86, 4 Pt 2.88
7 W 0.5000 0.0000 0.2600  2 W 2.61, 2 Zr 2.86, 4 Pt 2.88
8 W 0.5000 0.5000 0.9836  2 W 2.61, 2 Pt 2.83, 4 Zr 2.88